ZnSbOs3 | PBE | optimized geometry

It has space group Pm-3m (No. 221), with a = 4.524 Å, b = 4.524 Å, c = 4.524 Å, α = 90.00°, β = 90.00° and γ = 90.00°. The inequivalent atoms are Zn at (0.000, 0.000, 0.000), Sb at (0.500, 0.500, 0.500) and Os at (0.000, 0.000, 0.500).

The calculation puts the energy above the most stable polymorph in this dataset at 0 meV/atom. The density of states at the Fermi level is 6.9 states/eV/f.u. The energy is -5.898 eV per atom. The value obtained for the uncorrected formation energy is 1.919 eV per atom. The total magnetization is 0.000 μB per cell.


BeInAs2Br | PBE | optimized geometry

It has space group P4/mmm (No. 123), with a = 4.358 Å, b = 4.358 Å, c = 7.464 Å, α = 90.00°, β = 90.00° and γ = 90.00°. The inequivalent atoms are Be at (0.000, 0.000, 0.000), In at (0.500, 0.500, 0.500), As at (0.000, 0.500, 0.000) and Br at (0.000, 0.000, 0.500).

The calculation puts the energy above the most stable polymorph in this dataset at 0 meV/atom. The density of states at the Fermi level is 1.2 states/eV/f.u. The energy is -3.271 eV per atom. The value obtained for the uncorrected formation energy is 0.216 eV per atom. The total magnetization is 0.000 μB per cell.


NaLaAg2Br6 | PBE | optimized geometry

It has space group P1 (No. 1), with a = 7.353 Å, b = 7.375 Å, c = 8.133 Å, α = 63.80°, β = 64.59° and γ = 60.92°. The inequivalent atoms are Na at (0.000, 0.000, 0.000), La at (0.511, 0.513, 0.463), Ag at (0.210, 0.182, 0.410), Ag at (0.766, 0.778, 0.682), Br at (0.114, 0.778, 0.706), Br at (0.255, 0.585, 0.233), Br at (0.393, 0.116, 0.710), Br at (0.597, 0.910, 0.223), Br at (0.756, 0.404, 0.728) and Br at (0.912, 0.255, 0.243).

The density of states at the Fermi level is 0.0 states/eV/f.u. The energy is -3.415 eV per atom. The value obtained for the uncorrected formation energy is -1.217 eV per atom. The total magnetization is 0.000 μB per cell.


LaPt2Pb2 | PBE | optimized geometry

It has space group I4/mmm (No. 139), with a = 4.453 Å, b = 4.453 Å, c = 12.642 Å, α = 90.00°, β = 90.00° and γ = 90.00°. The inequivalent atoms are La at (0.000, 0.000, 0.000), Pt at (0.000, 0.000, 0.398) and Pb at (0.000, 0.500, 0.250).

The calculation puts the energy above the most stable polymorph in this dataset at 93 meV/atom. The density of states at the Fermi level is 3.5 states/eV/f.u. The energy is -5.419 eV per atom. The value obtained for the calculated formation energy is -0.533 eV per atom. The total magnetization is 0.000 μB per cell.


PmZrCd | PBE | optimized geometry

It has space group R-3m (No. 166, hexagonal axes), with a = 4.8308 Å, b = 4.8308 Å, c = 26.2044 Å, α = 90.00°, β = 90.00° and γ = 120.00°. The inequivalent atoms are Pm at (0.0000, 0.0000, 0.0690), Zr at (0.0000, 0.0000, 0.1907) and Cd at (0.0000, 0.0000, 0.3247).

The calculation puts the energy above the most stable polymorph in this dataset at 415 meV/atom. The density of states at the Fermi level is 3.9 states/eV/f.u. The energy is -4.403 eV per atom. The value obtained for the calculated formation energy is 0.335 eV per atom. The total magnetization is 0.004 μB per cell.


NaAcSb | PBE | optimized geometry

It has space group I4mm (No. 107), with a = 4.445 Å, b = 4.445 Å, c = 10.057 Å, α = 90.00°, β = 90.00° and γ = 90.00°. The inequivalent atoms are Na at (0.000, 0.000, 0.000), Ac at (0.000, 0.000, 0.320) and Sb at (0.000, 0.000, 0.673).

The calculation puts the energy above the most stable polymorph in this dataset at 130 meV/atom. The density of states at the Fermi level is 2.5 states/eV/f.u. The energy is -3.623 eV per atom. The value obtained for the uncorrected formation energy is -0.440 eV per atom. The total magnetization is 0.002 μB per cell.